## AlHg2Au (PBE)

Data for AlHg2Au after structural relaxation.

Values from the calculation:
VASP energy	-1.7869	eV per atom

Cell: 5.700 5.700 5.700 Å, 147.17 122.47 67.84°
Fractional positions:
Al (0.750, 0.250, 0.500)
Au (0.250, 0.750, 0.500)
Hg (0.992, 0.992, 0.000)
Hg (0.508, 0.508, 0.000)